Compound: CaCdHg
Source: Alexandria via LeMat-Bulk
Functional: PBE
Structure: relaxed

Cell: 3.8039 3.8039 6.8850 Å, 90.00 90.00 120.00°
Space group P3m1 (No. 156)
Inequivalent atoms, fractional coordinates:
Ca1 0.0000 0.0000 0.0000
Cd1 0.6667 0.3333 0.3575
Hg1 0.3333 0.6667 0.6680

Calculated values
As for the density: 6.80 g/cm3. The density of states at the Fermi level is 0.761 states/eV per atom. The calculation puts the formation energy at -217 meV/atom. The crystal system is trigonal.

***

Compound: Ca2Cd2Hg7
Source: Alexandria via LeMat-Bulk
Functional: PBE
Structure: relaxed

Cell: 5.050 16.201 6.980 Å, 90.00 90.00 90.00°
Space group Imm2 (No. 44)
Inequivalent atoms, fractional coordinates:
Ca1 0.000 0.207 0.000
Cd1 0.000 0.000 0.770
Cd2 0.000 0.500 0.992
Hg1 0.000 0.000 0.195
Hg2 0.000 0.163 0.501
Hg3 0.000 0.365 0.719
Hg4 0.000 0.370 0.283

Calculated values
As for the density: 9.94 g/cm3. The density of states at the Fermi level is 0.413 states/eV per atom. The calculation puts the formation energy at -247 meV/atom. The crystal system is orthorhombic. The calculation puts the excess energy over the best structure of this formula in the dataset at 0.0 kJ/mol of atoms.

***

Compound: CaCd6Hg2
Source: Alexandria via LeMat-Bulk
Functional: PBE
Structure: relaxed

Cell: 15.478 8.645 3.376 Å, 90.00 102.53 90.00°
Space group C2/m (No. 12)
Inequivalent atoms, fractional coordinates:
Ca1 0.000 0.000 0.000
Cd1 0.000 0.328 0.500
Cd2 0.175 0.173 0.673
Hg1 0.148 0.500 0.155

Calculated values
As for the density: 8.40 g/cm3. The density of states at the Fermi level is 0.362 states/eV per atom. The calculation puts the formation energy at -95 meV/atom. The crystal system is monoclinic. The calculation puts the excess energy over the best structure of this formula in the dataset at 4.9 kJ/mol of atoms.

***

Compound: CaCd9Hg2
Source: Alexandria via LeMat-Bulk
Functional: PBE
Structure: relaxed

Cell: 5.9968 5.9968 28.3525 Å, 90.00 90.00 120.00°
Space group R-3m (No. 166, hexagonal axes)
Inequivalent atoms, fractional coordinates:
Ca1 0.0000 0.0000 0.0000
Cd1 0.0000 0.0000 0.3339
Cd2 0.0000 0.0000 0.5000
Cd3 0.0079 0.5039 0.9127
Hg1 0.0000 0.0000 0.1390

Calculated values
As for the density: 8.20 g/cm3. The density of states at the Fermi level is 0.436 states/eV per atom. The calculation puts the formation energy at -37 meV/atom. The crystal system is trigonal.

***

Compound: Ca3Cd4Hg2
Source: Alexandria via LeMat-Bulk
Functional: PBE
Structure: relaxed

Cell: 11.360 4.971 9.411 Å, 90.00 117.14 90.00°
Space group C2/m (No. 12)
Inequivalent atoms, fractional coordinates:
Ca1 0.000 0.000 0.000
Ca2 0.175 0.500 0.655
Cd1 0.036 0.000 0.374
Cd2 0.225 0.500 0.057
Hg1 0.099 0.500 0.266

Calculated values
As for the density: 6.82 g/cm3. The density of states at the Fermi level is 0.581 states/eV per atom. The calculation puts the formation energy at -386 meV/atom. The crystal system is monoclinic. The calculation puts the excess energy over the best structure of this formula in the dataset at 0.0 kJ/mol of atoms.

***

Compound: Ca3CdHg2
Source: Alexandria via LeMat-Bulk
Functional: PBE
Structure: relaxed

Cell: 5.402 16.192 3.779 Å, 90.00 90.00 90.00°
Space group Cmmm (No. 65)
Inequivalent atoms, fractional coordinates:
Ca1 0.000 0.000 0.000
Ca2 0.000 0.330 0.000
Cd1 0.000 0.500 0.500
Hg1 0.000 0.163 0.500

Calculated values
As for the density: 6.37 g/cm3. The density of states at the Fermi level is 0.733 states/eV per atom. The calculation puts the formation energy at -488 meV/atom. The crystal system is orthorhombic. The calculation puts the excess energy over the best structure of this formula in the dataset at 0.0 kJ/mol of atoms.

***

Compound: CaCd2Hg3
Source: Alexandria via LeMat-Bulk
Functional: PBE
Structure: relaxed

Cell: 4.778 14.252 4.395 Å, 90.00 90.00 90.00°
Space group Pmmn (No. 59, origin choice 2)
Inequivalent atoms, fractional coordinates:
Ca1 0.250 0.250 0.001
Cd1 0.250 0.578 0.999
Hg1 0.250 0.083 0.501
Hg2 0.250 0.750 0.499

Calculated values
As for the density: 9.62 g/cm3. The density of states at the Fermi level is 0.479 states/eV per atom. The calculation puts the formation energy at -228 meV/atom. The crystal system is orthorhombic. The calculation puts the excess energy over the best structure of this formula in the dataset at 0.5 kJ/mol of atoms.

***

Compound: Ca3CdHg2
Source: Alexandria via LeMat-Bulk
Functional: PBE
Structure: relaxed

Cell: 3.818 3.818 11.322 Å, 90.00 90.00 90.00°
Space group P4/mmm (No. 123)
Inequivalent atoms, fractional coordinates:
Ca1 0.000 0.000 0.000
Ca2 0.000 0.000 0.329
Cd1 0.500 0.500 0.500
Hg1 0.500 0.500 0.167

Calculated values
As for the density: 6.38 g/cm3. The density of states at the Fermi level is 0.808 states/eV per atom. The calculation puts the formation energy at -484 meV/atom. The crystal system is tetragonal. The calculation puts the excess energy over the best structure of this formula in the dataset at 0.4 kJ/mol of atoms.

***

Compound: CaCd8Hg2
Source: Alexandria via LeMat-Bulk
Functional: PBE
Structure: relaxed

Cell: 8.103 16.357 5.415 Å, 90.00 131.07 90.00°
Space group C2/m (No. 12)
Inequivalent atoms, fractional coordinates:
Ca1 0.000 0.000 0.000
Cd1 0.000 0.203 0.000
Cd2 0.003 0.500 0.254
Cd3 0.234 0.135 0.738
Hg1 0.000 0.318 0.500

Calculated values
As for the density: 8.23 g/cm3. The density of states at the Fermi level is 0.225 states/eV per atom. The calculation puts the formation energy at -58 meV/atom. The crystal system is monoclinic. The calculation puts the excess energy over the best structure of this formula in the dataset at 0.8 kJ/mol of atoms.

***

Compound: Ca2Cd2Hg
Source: Alexandria via LeMat-Bulk
Functional: PBE
Structure: relaxed

Cell: 11.630 4.507 11.755 Å, 90.00 112.94 90.00°
Space group C2/m (No. 12)
Inequivalent atoms, fractional coordinates:
Ca1 0.001 0.000 0.328
Ca2 0.189 0.000 0.112
Cd1 0.036 0.500 0.894
Cd2 0.140 0.500 0.553
Hg1 0.207 0.500 0.323

Calculated values
As for the density: 5.92 g/cm3. The density of states at the Fermi level is 0.658 states/eV per atom. The calculation puts the formation energy at -358 meV/atom. The crystal system is monoclinic. The calculation puts the excess energy over the best structure of this formula in the dataset at 0.8 kJ/mol of atoms.

***

Compound: CaCd7Hg2
Source: Alexandria via LeMat-Bulk
Functional: PBE
Structure: relaxed

Cell: 9.795 17.521 3.189 Å, 90.00 90.00 90.00°
Space group Cmmm (No. 65)
Inequivalent atoms, fractional coordinates:
Ca1 0.000 0.000 0.000
Cd1 0.000 0.183 0.000
Cd2 0.000 0.500 0.500
Cd3 0.236 0.096 0.500
Hg1 0.000 0.326 0.500

Calculated values
As for the density: 7.45 g/cm3. The density of states at the Fermi level is 0.307 states/eV per atom. The calculation puts the formation energy at 4 meV/atom. The crystal system is orthorhombic.

***

Compound: CaCd2Hg2
Source: Alexandria via LeMat-Bulk
Functional: PBE
Structure: relaxed

Cell: 4.9902 4.9902 17.4198 Å, 90.00 90.00 120.00°
Space group R-3m (No. 166, hexagonal axes)
Inequivalent atoms, fractional coordinates:
Ca1 0.0000 0.0000 0.0000
Cd1 0.0000 0.0000 0.2045
Hg1 0.0000 0.0000 0.4085

Calculated values
As for the density: 8.83 g/cm3. The density of states at the Fermi level is 0.506 states/eV per atom. The calculation puts the formation energy at -273 meV/atom. The crystal system is trigonal. The calculation puts the excess energy over the best structure of this formula in the dataset at 0.0 kJ/mol of atoms.

***

Compound: Ca7Cd2Hg2
Source: Alexandria via LeMat-Bulk
Functional: PBE
Structure: relaxed

Cell: 8.208 11.846 7.888 Å, 90.00 90.00 90.00°
Space group Cmmm (No. 65)
Inequivalent atoms, fractional coordinates:
Ca1 0.000 0.000 0.000
Ca2 0.000 0.500 0.253
Ca3 0.250 0.250 0.280
Cd1 0.174 0.000 0.500
Hg1 0.000 0.290 0.000

Calculated values
As for the density: 3.93 g/cm3. The density of states at the Fermi level is 0.961 states/eV per atom. The calculation puts the formation energy at -201 meV/atom. The crystal system is orthorhombic.

***

Compound: CaCdHg6
Source: Alexandria via LeMat-Bulk
Functional: PBE
Structure: relaxed

Cell: 5.342 6.820 11.195 Å, 90.00 90.00 90.00°
Space group Amm2 (No. 38)
Inequivalent atoms, fractional coordinates:
Ca1 0.000 0.000 0.000
Cd1 0.500 0.000 0.695
Hg1 0.000 0.000 0.518
Hg2 0.000 0.240 0.258
Hg3 0.500 0.000 0.175
Hg4 0.500 0.235 0.432

Calculated values
As for the density: 11.04 g/cm3. The density of states at the Fermi level is 0.287 states/eV per atom. The calculation puts the formation energy at -177 meV/atom. The crystal system is orthorhombic.

***

Compound: Ca3Cd3Hg2
Source: Alexandria via LeMat-Bulk
Functional: PBE
Structure: relaxed

Cell: 7.8570 7.8570 4.1092 Å, 90.00 90.00 120.00°
Space group P-62m (No. 189)
Inequivalent atoms, fractional coordinates:
Ca1 0.0000 0.4019 0.0000
Cd1 0.0000 0.7760 0.5000
Hg1 0.3333 0.6667 0.5000

Calculated values
As for the density: 6.49 g/cm3. The density of states at the Fermi level is 0.543 states/eV per atom. The calculation puts the formation energy at -390 meV/atom. The crystal system is hexagonal. The calculation puts the excess energy over the best structure of this formula in the dataset at 0.0 kJ/mol of atoms.

***

Compound: CaCd2Hg2
Source: Alexandria via LeMat-Bulk
Functional: PBE
Structure: relaxed

Cell: 8.337 8.337 3.722 Å, 90.00 90.00 90.00°
Space group P4/mbm (No. 127)
Inequivalent atoms, fractional coordinates:
Ca1 0.000 0.000 0.000
Cd1 0.123 0.377 0.000
Hg1 0.179 0.679 0.500

Calculated values
As for the density: 8.55 g/cm3. The density of states at the Fermi level is 0.527 states/eV per atom. The calculation puts the formation energy at -169 meV/atom. The crystal system is tetragonal. The calculation puts the excess energy over the best structure of this formula in the dataset at 10.0 kJ/mol of atoms.

***

Compound: Ca2Cd2Hg
Source: Alexandria via LeMat-Bulk
Functional: PBE
Structure: relaxed

Cell: 8.054 8.054 4.344 Å, 90.00 90.00 90.00°
Space group P4/mbm (No. 127)
Inequivalent atoms, fractional coordinates:
Ca1 0.173 0.327 0.000
Cd1 0.128 0.628 0.500
Hg1 0.000 0.000 0.500

Calculated values
As for the density: 5.96 g/cm3. The density of states at the Fermi level is 0.688 states/eV per atom. The calculation puts the formation energy at -310 meV/atom. The crystal system is tetragonal. The calculation puts the excess energy over the best structure of this formula in the dataset at 5.4 kJ/mol of atoms.

***

Compound: Ca2Cd5Hg4
Source: Alexandria via LeMat-Bulk
Functional: PBE
Structure: relaxed

Cell: 5.922 9.741 20.339 Å, 90.00 90.00 90.00°
Space group Fmmm (No. 69)
Inequivalent atoms, fractional coordinates:
Ca1 0.000 0.000 0.105
Cd1 0.000 0.000 0.500
Cd2 0.250 0.250 0.000
Cd3 0.250 0.250 0.250
Hg1 0.000 0.157 0.368

Calculated values
As for the density: 8.18 g/cm3. The density of states at the Fermi level is 0.497 states/eV per atom. The calculation puts the formation energy at -180 meV/atom. The crystal system is orthorhombic. The calculation puts the excess energy over the best structure of this formula in the dataset at 3.1 kJ/mol of atoms.

***

Compound: Ca3CdHg5
Source: Alexandria via LeMat-Bulk
Functional: PBE
Structure: relaxed

Cell: 8.844 8.844 13.136 Å, 90.00 90.00 90.00°
Space group I4/mcm (No. 140)
Inequivalent atoms, fractional coordinates:
Ca1 0.000 0.000 0.250
Ca2 0.129 0.371 0.000
Cd1 0.000 0.500 0.250
Hg1 0.000 0.000 0.000
Hg2 0.191 0.309 0.357

Calculated values
As for the density: 7.99 g/cm3. The density of states at the Fermi level is 0.478 states/eV per atom. The calculation puts the formation energy at -291 meV/atom. The crystal system is tetragonal. The calculation puts the excess energy over the best structure of this formula in the dataset at 14.1 kJ/mol of atoms.

***

Compound: CaCd5Hg5
Source: Alexandria via LeMat-Bulk
Functional: PBE
Structure: relaxed

Cell: 5.501 7.049 7.833 Å, 89.06 70.79 75.76°
Space group P-1 (No. 2)
Inequivalent atoms, fractional coordinates:
Ca1 0.000 0.000 0.000
Cd1 0.000 0.000 0.500
Cd2 0.280 0.651 0.645
Cd3 0.330 0.643 0.197
Hg1 0.000 0.500 0.000
Hg2 0.311 0.197 0.647
Hg3 0.365 0.181 0.179

Calculated values
As for the density: 9.61 g/cm3. The density of states at the Fermi level is 0.308 states/eV per atom. The calculation puts the formation energy at -102 meV/atom. The crystal system is triclinic.